one) Computed, not measured: crystalline LiRe3C at its relaxed geometry at the PBE level of DFT.

Results
calculated volume: 13.71 Å³ per atom
symmetry: No. 221
ρ: 13.99 Mg/m³

```
5
Lattice="4.093 0.000 0.000 0.000 4.093 0.000 0.000 0.000 4.093" Properties=species:S:1:pos:R:3 pbc="T T T"
Li 0.000 0.000 0.000
Re 0.000 0.000 2.047
Re 0.000 2.047 0.000
Re 2.047 0.000 0.000
C 2.047 2.047 2.047
```



two) Computed, not measured: crystalline LiRe3C at its relaxed geometry at the PBE level of DFT.

Results
calculated volume: 13.47 Å³ per atom
symmetry: No. 221
ρ: 14.24 Mg/m³

```
5
Lattice="4.069 0.000 0.000 0.000 4.069 0.000 0.000 0.000 4.069" Properties=species:S:1:pos:R:3 pbc="T T T"
Li 0.000 0.000 0.000
Re 0.000 2.035 2.035
Re 2.035 0.000 2.035
Re 2.035 2.035 0.000
C 2.035 2.035 2.035
```



Most stable: two). Least stable: one).



one) Computed, not measured: crystalline LiRhC3 at its relaxed geometry at the PBE level of DFT.

Results
calculated volume: 9.41 Å³ per atom
symmetry: No. 221
ρ: 5.15 Mg/m³

```
5
Lattice="3.610 0.000 0.000 0.000 3.610 0.000 0.000 0.000 3.610" Properties=species:S:1:pos:R:3 pbc="T T T"
Li 0.000 0.000 0.000
Rh 1.805 1.805 1.805
C 0.000 0.000 1.805
C 0.000 1.805 0.000
C 1.805 0.000 0.000
```



two) Computed, not measured: crystalline LiRhC3 at its relaxed geometry at the PBE level of DFT.

Results
calculated volume: 12.86 Å³ per atom
symmetry: No. 221
ρ: 3.77 Mg/m³

```
5
Lattice="4.006 0.000 0.000 0.000 4.006 0.000 0.000 0.000 4.006" Properties=species:S:1:pos:R:3 pbc="T T T"
Li 0.000 0.000 0.000
Rh 2.003 2.003 2.003
C 0.000 2.003 2.003
C 2.003 0.000 2.003
C 2.003 2.003 0.000
```



Most stable: two). Least stable: one).



one) Computed, not measured: crystalline LiScRh2C at its relaxed geometry at the PBE level of DFT.

Results
calculated volume: 20.11 Å³ per atom
symmetry: No. 123
ρ: 4.45 Mg/m³

```
5
Lattice="4.578 0.000 0.000 0.000 4.578 0.000 0.000 0.000 4.798" Properties=species:S:1:pos:R:3 pbc="T T T"
Li 0.000 0.000 0.000
Sc 0.000 0.000 2.399
Rh 0.000 2.289 2.399
Rh 2.289 0.000 2.399
C 2.289 2.289 0.000
```



two) Computed, not measured: crystalline LiScRh2C at its relaxed geometry at the PBE level of DFT.

Results
calculated volume: 13.58 Å³ per atom
symmetry: No. 123
ρ: 6.59 Mg/m³

```
5
Lattice="4.058 0.000 0.000 0.000 4.058 0.000 0.000 0.000 4.123" Properties=species:S:1:pos:R:3 pbc="T T T"
Li 0.000 0.000 0.000
Sc 2.029 2.029 0.000
Rh 0.000 2.029 2.062
Rh 2.029 0.000 2.062
C 0.000 0.000 2.062
```



three) Computed, not measured: crystalline LiScRh2C at its relaxed geometry at the PBE level of DFT.

Results
calculated volume: 13.23 Å³ per atom
symmetry: No. 123
ρ: 6.77 Mg/m³

```
5
Lattice="4.231 0.000 0.000 0.000 4.231 0.000 0.000 0.000 3.696" Properties=species:S:1:pos:R:3 pbc="T T T"
Li 0.000 0.000 0.000
Sc 2.115 2.115 1.848
Rh 0.000 2.115 0.000
Rh 2.115 0.000 0.000
C 0.000 0.000 1.848
```



four) Computed, not measured: crystalline LiScRh2C at its relaxed geometry at the PBE level of DFT.

Results
calculated volume: 14.40 Å³ per atom
symmetry: No. 123
ρ: 6.22 Mg/m³

```
5
Lattice="4.054 0.000 0.000 0.000 4.054 0.000 0.000 0.000 4.382" Properties=species:S:1:pos:R:3 pbc="T T T"
Li 0.000 0.000 0.000
Sc 2.027 2.027 0.000
Rh 0.000 2.027 2.191
Rh 2.027 0.000 2.191
C 2.027 2.027 2.191
```



Most stable: two). Least stable: one).



one) Computed, not measured: crystalline LiRu3C at its relaxed geometry at the PBE level of DFT.

Results
calculated volume: 13.03 Å³ per atom
symmetry: No. 221
ρ: 8.21 Mg/m³

```
5
Lattice="4.024 0.000 0.000 0.000 4.024 0.000 0.000 0.000 4.024" Properties=species:S:1:pos:R:3 pbc="T T T"
Li 0.000 0.000 0.000
Ru 0.000 2.012 2.012
Ru 2.012 0.000 2.012
Ru 2.012 2.012 0.000
C 2.012 2.012 2.012
```



two) Computed, not measured: crystalline LiRu3C at its relaxed geometry at the PBE level of DFT.

Results
calculated volume: 13.14 Å³ per atom
symmetry: No. 221
ρ: 8.14 Mg/m³

```
5
Lattice="4.035 0.000 0.000 0.000 4.035 0.000 0.000 0.000 4.035" Properties=species:S:1:pos:R:3 pbc="T T T"
Li 0.000 0.000 0.000
Ru 0.000 0.000 2.017
Ru 0.000 2.017 0.000
Ru 2.017 0.000 0.000
C 2.017 2.017 2.017
```



Most stable: one). Least stable: two).



one) Computed, not measured: crystalline Li3RuC at its relaxed geometry at the PBE level of DFT.

Results
calculated volume: 18.06 Å³ per atom
symmetry: No. 221
ρ: 2.46 Mg/m³

```
5
Lattice="4.486 0.000 0.000 0.000 4.486 0.000 0.000 0.000 4.486" Properties=species:S:1:pos:R:3 pbc="T T T"
Li 0.000 0.000 2.243
Li 0.000 2.243 0.000
Li 2.243 0.000 0.000
Ru 0.000 0.000 0.000
C 2.243 2.243 2.243
```



two) Computed, not measured: crystalline Li3RuC at its relaxed geometry at the PBE level of DFT.

Results
calculated volume: 11.96 Å³ per atom
symmetry: No. 221
ρ: 3.72 Mg/m³

```
5
Lattice="3.910 0.000 0.000 0.000 3.910 0.000 0.000 0.000 3.910" Properties=species:S:1:pos:R:3 pbc="T T T"
Li 0.000 0.000 1.955
Li 0.000 1.955 0.000
Li 1.955 0.000 0.000
Ru 1.955 1.955 1.955
C 0.000 0.000 0.000
```



Most stable: two). Least stable: one).



one) Computed, not measured: crystalline LiRuC at its relaxed geometry at the PBE level of DFT.

Results
calculated volume: 12.11 Å³ per atom
symmetry: No. 129
ρ: 5.48 Mg/m³

```
6
Lattice="3.856 0.000 0.000 0.000 3.856 0.000 0.000 0.000 4.889" Properties=species:S:1:pos:R:3 pbc="T T T"
Li 0.964 0.964 0.459
Li 2.892 2.892 4.430
Ru 0.964 2.892 2.444
Ru 2.892 0.964 2.444
C 0.964 0.964 3.185
C 2.892 2.892 1.704
```



two) Computed, not measured: crystalline LiRuC at its relaxed geometry at the PBE level of DFT.

Results
calculated volume: 12.94 Å³ per atom
symmetry: No. 187
ρ: 5.13 Mg/m³

```
3
Lattice="3.321 0.000 0.000 -1.661 2.876 0.000 0.000 0.000 4.064" Properties=species:S:1:pos:R:3 pbc="T T T"
Li 0.000 0.000 0.000
Ru 1.661 0.959 2.032
C 0.000 1.918 2.032
```



Most stable: two). Least stable: one).



one) Computed, not measured: crystalline LiRuC3 at its relaxed geometry at the PBE level of DFT.

Results
calculated volume: 9.02 Å³ per atom
symmetry: No. 221
ρ: 5.30 Mg/m³

```
5
Lattice="3.559 0.000 0.000 0.000 3.559 0.000 0.000 0.000 3.559" Properties=species:S:1:pos:R:3 pbc="T T T"
Li 0.000 0.000 0.000
Ru 1.780 1.780 1.780
C 0.000 0.000 1.780
C 0.000 1.780 0.000
C 1.780 0.000 0.000
```



two) Computed, not measured: crystalline LiRuC3 at its relaxed geometry at the PBE level of DFT.

Results
calculated volume: 12.52 Å³ per atom
symmetry: No. 221
ρ: 3.82 Mg/m³

```
5
Lattice="3.970 0.000 0.000 0.000 3.970 0.000 0.000 0.000 3.970" Properties=species:S:1:pos:R:3 pbc="T T T"
Li 0.000 0.000 0.000
Ru 1.985 1.985 1.985
C 0.000 1.985 1.985
C 1.985 0.000 1.985
C 1.985 1.985 0.000
```



Most stable: two). Least stable: one).



one) Computed, not measured: crystalline LiSb3C at its relaxed geometry at the PBE level of DFT.

Results
calculated volume: 22.85 Å³ per atom
symmetry: No. 221
ρ: 5.58 Mg/m³

```
5
Lattice="4.852 0.000 0.000 0.000 4.852 0.000 0.000 0.000 4.852" Properties=species:S:1:pos:R:3 pbc="T T T"
Li 0.000 0.000 0.000
Sb 0.000 0.000 2.426
Sb 0.000 2.426 0.000
Sb 2.426 0.000 0.000
C 2.426 2.426 2.426
```



two) Computed, not measured: crystalline LiSb3C at its relaxed geometry at the PBE level of DFT.

Results
calculated volume: 22.46 Å³ per atom
symmetry: No. 221
ρ: 5.68 Mg/m³

```
5
Lattice="4.825 0.000 0.000 0.000 4.825 0.000 0.000 0.000 4.825" Properties=species:S:1:pos:R:3 pbc="T T T"
Li 0.000 0.000 0.000
Sb 0.000 2.412 2.412
Sb 2.412 0.000 2.412
Sb 2.412 2.412 0.000
C 2.412 2.412 2.412
```



Most stable: two). Least stable: one).